No. 1
Crystalline AlRu at its relaxed geometry. Source: the Alexandria database, functional PBE.

Computed properties:
Final energy = -7.06 eV/atom
Energy relative to the elements = -0.546 eV per atom
Spin magnetization = 0.000 μB/atom

a b c (Å): 4.8893 5.4714 2.9060
angles (deg): 74.60 72.71 49.03
Closest atoms and distances in Å follow each position.
Element x y z (fractional)
Ru (0.4056, 0.1067, 0.2439)  7 Al 2.58-2.64, 2 Ru 2.71
Ru (0.5111, 0.4767, 0.5061)  7 Al 2.58-2.64, 2 Ru 2.71
Al (0.0411, 0.9792, 0.9898)  7 Ru 2.58-2.64, 1 Al 2.88
Al (0.8755, 0.6041, 0.7602)  7 Ru 2.58-2.64, 1 Al 2.88


No. 2
Crystalline Pr2Nd3ErAs6 at its relaxed geometry. Source: the Alexandria database, functional PBE.

Computed properties:
Final energy = -6.19 eV/atom
Energy relative to the elements = -1.499 eV per atom
Spin magnetization = 0.000 μB/atom

a b c (Å): 4.2579 8.5086 9.5128
angles (deg): 102.94 102.93 90.00
Closest atoms and distances in Å follow each position.
Element x y z (fractional)
Nd (0.5000, 0.5000, 0.0000)  6 As 3.00-3.06
Pr (0.8345, 0.6685, 0.6690)  6 As 3.01-3.04
Er (0.5000, 0.0000, 0.0000)  6 As 2.95-2.96
As (0.9989, 0.2414, 0.9979)  2 Er 2.96, 3 Nd 3.00-3.06, 1 Pr 3.01
Nd (0.8328, 0.1659, 0.6657)  6 As 3.00-3.06
As (0.0011, 0.7586, 0.0021)  2 Er 2.96, 3 Nd 3.00-3.06, 1 Pr 3.01
Nd (0.1672, 0.8341, 0.3343)  6 As 3.00-3.06
As (0.3365, 0.9201, 0.6730)  1 Er 2.95, 3 Nd 3.00-3.06, 2 Pr 3.01
As (0.3338, 0.4156, 0.6676)  3 Nd 3.00-3.01, 3 Pr 3.02-3.04
As (0.6662, 0.5844, 0.3324)  3 Nd 3.00-3.01, 3 Pr 3.02-3.04
As (0.6635, 0.0799, 0.3270)  1 Er 2.95, 3 Nd 3.00-3.06, 2 Pr 3.01
Pr (0.1655, 0.3315, 0.3310)  6 As 3.01-3.04